[1]
# Mg16Al12Zn

A PBEsol-optimized structure of Mg16Al12Zn (meta-GGA SCAN, Alexandria).

Calculated values
The calculation puts the energy relative to the elements at -16 meV per atom. The space group is R3m (160). As for the crystal system: trigonal. The energy above the lowest structure with this stoichiometry comes out at 10 meV/atom. The total magnetic moment is 0.00 Bohr magnetons per cell.

```
Mg16Al12Zn
1.0
-1.334 -0.242 -8.892
6.656 -5.657 2.144
-7.531 -2.578 4.188
Mg Al Zn
16 12 1
Cartesian
1.042 -5.148 -0.425
0.000 0.000 0.000
-4.171 -3.531 -2.607
-6.541 -4.775 -3.952
1.724 -7.257 1.810
-3.118 -4.245 0.174
0.246 -4.435 -6.260
2.702 -6.782 -5.284
-0.976 -5.696 1.806
-6.193 -4.513 -0.445
-3.707 -3.577 -5.690
1.502 -4.762 -3.424
-1.336 -8.303 3.238
-3.966 -6.022 2.630
-1.301 -3.561 -3.661
3.450 -6.606 -1.834
-2.044 -1.972 -1.320
3.732 -5.102 0.857
-6.983 -2.259 -2.209
3.119 -3.778 -5.894
-0.540 -2.991 0.756
4.580 -4.769 -3.875
-1.242 -1.731 -6.012
-5.100 -3.185 2.130
0.663 -6.245 4.393
0.626 -2.551 -1.705
-1.932 -5.682 4.767
-5.849 -1.831 -4.601
-1.523 -5.846 -1.766
```

[2]
# MgAlZn

A PBEsol-optimized structure of MgAlZn (meta-GGA SCAN, Alexandria).

Calculated values
The calculation puts the energy relative to the elements at -35 meV per atom. The space group is I4mm (107). As for the crystal system: tetragonal. The energy above the lowest structure with this stoichiometry comes out at 13 meV/atom. The total magnetic moment is 0.00 Bohr magnetons per cell.

```
MgAlZn
1.0
-2.801 -0.792 0.159
0.450 -2.005 -2.068
2.568 -2.673 5.206
Mg Zn Al
1 1 1
Cartesian
-0.696 -2.800 0.508
0.943 -2.759 2.880
0.186 -5.382 3.204
```

[3]
# MgAl2Zn

A PBEsol-optimized structure of MgAl2Zn (meta-GGA SCAN, Alexandria).

Calculated values
The calculation puts the energy relative to the elements at -1 meV per atom. The space group is I-4m2 (119). As for the crystal system: tetragonal. The total magnetic moment is 0.00 Bohr magnetons per cell.

```
MgAl2Zn
1.0
4.095 0.000 0.000
0.000 4.095 0.000
-2.047 -2.047 4.049
Mg Zn Al
1 1 2
Cartesian
2.047 2.047 0.000
0.000 2.047 2.024
0.000 0.000 0.000
2.047 0.000 2.024
```